Crystalline Pd2PtAu4 at its relaxed geometry, computed with PBE.

Output
The value obtained for the formation energy is 154 meV per atom. The total energy is -4.07 eV per atom. The calculated density is 15.64 Mg/m³. As for the density of states at the Fermi level: 5.87 states/eV/f.u.

Unit cell a=6.909 b=6.909 c=6.909 alpha=109.49 beta=109.43 gamma=109.49
Sites, in units of the cell vectors:
Pt (0.000, 0.000, 0.000)
Pt (0.750, 0.500, 0.250)
Au (0.124, 0.412, 0.374)
Au (0.626, 0.749, 0.537)
Au (0.463, 0.088, 0.212)
Au (0.788, 0.251, 0.876)
Au (0.626, 0.751, 0.038)
Au (0.287, 0.249, 0.876)
Au (0.124, 0.912, 0.374)
Au (0.962, 0.588, 0.713)
Pd (0.253, 0.628, 0.125)
Pd (0.375, 0.872, 0.747)
Pd (0.497, 0.372, 0.625)
Pd (0.875, 0.128, 0.503)

Crystalline Pd3Pt3Au2 at its relaxed geometry, computed with PBE.

Output
The value obtained for the formation energy is -5 meV per atom. The total energy is -5.04 eV per atom. The calculated density is 16.73 Mg/m³. As for the density of states at the Fermi level: 14.32 states/eV/f.u.

Unit cell a=4.869 b=4.908 c=6.373 alpha=105.33 beta=105.09 gamma=108.69
Sites, in units of the cell vectors:
Pt (0.000, 0.000, 0.000)
Pt (0.381, 0.882, 0.763)
Pt (0.619, 0.118, 0.237)
Au (0.750, 0.750, 0.501)
Au (0.250, 0.250, 0.499)
Pd (0.500, 0.500, 0.000)
Pd (0.875, 0.375, 0.751)
Pd (0.125, 0.625, 0.249)

Crystalline PdPt3Au3 at its relaxed geometry, computed with PBE.

Output
The value obtained for the formation energy is 36 meV per atom. The total energy is -4.70 eV per atom. The calculated density is 18.30 Mg/m³. As for the density of states at the Fermi level: 8.07 states/eV/f.u.

Unit cell a=4.744 b=7.527 c=7.527 alpha=120.00 beta=90.00 gamma=90.00
Sites, in units of the cell vectors:
Pt (0.750, 0.814, 0.768)
Pt (0.250, 0.186, 0.232)
Pt (0.750, 0.954, 0.186)
Pt (0.750, 0.232, 0.046)
Pt (0.250, 0.768, 0.954)
Pt (0.250, 0.046, 0.814)
Pd (0.750, 0.667, 0.333)
Pd (0.250, 0.333, 0.667)
Au (0.250, 0.620, 0.527)
Au (0.750, 0.527, 0.907)
Au (0.250, 0.473, 0.093)
Au (0.250, 0.907, 0.380)
Au (0.750, 0.093, 0.620)
Au (0.750, 0.380, 0.473)

Question: Among the records above, which one has the lowest calculated density?
Answer: Pd2PtAu4

Question: Look up the formation energy of the first one.
Answer: 154 meV per atom

Question: The highest formation energy belongs to which entry?
Answer: Pd2PtAu4